## Cs12Ag3I5 (GGA-PBE)

Data for an optimized crystal structure of Cs12Ag3I5.

```
data_Cs12Ag3I5
_cell_length_a 22.916
_cell_length_b 22.916
_cell_length_c 22.916
_cell_angle_alpha 90.00
_cell_angle_beta 90.00
_cell_angle_gamma 90.00
_space_group_name_H-M_alt 'I a -3 d'
_space_group_IT_number 230
_space_group_name_Hall '-I 4bd 2c 3'
loop_
_atom_site_label
_atom_site_type_symbol
_atom_site_fract_x
_atom_site_fract_y
_atom_site_fract_z
Cs1 Cs 0.018 0.071 0.652
Ag1 Ag 0.000 0.250 0.125
I1 I 0.000 0.000 0.000
I2 I 0.000 0.250 0.375
```

V in Å³ per cell: 12035
Crystal system: cubic
Energy relative to the elements, uncorrected in eV per atom: -0.648
Final energy in eV per atom: -1.9754

---

## CsAg2I2 (GGA-PBE)

Data for an optimized crystal structure of CsAg2I2.

```
data_CsAg2I2
_cell_length_a 5.734
_cell_length_b 5.734
_cell_length_c 10.877
_cell_angle_alpha 90.00
_cell_angle_beta 90.00
_cell_angle_gamma 90.00
_space_group_name_H-M_alt 'I 4/m m m'
_space_group_IT_number 139
_space_group_name_Hall '-I 4 2'
loop_
_atom_site_label
_atom_site_type_symbol
_atom_site_fract_x
_atom_site_fract_y
_atom_site_fract_z
Cs1 Cs 0.000 0.000 0.000
Ag1 Ag 0.000 0.000 0.372
I1 I 0.000 0.500 0.250
```

V in Å³ per cell: 358
Crystal system: tetragonal
Energy relative to the elements, uncorrected in eV per atom: -0.386
Energy above the most stable polymorph in this dataset in meV per atom: 0
Final energy in eV per atom: -2.3177

---

## Cs3AgI (GGA-PBE)

Data for an optimized crystal structure of Cs3AgI.

```
data_Cs3AgI
_cell_length_a 7.055
_cell_length_b 7.055
_cell_length_c 7.055
_cell_angle_alpha 90.00
_cell_angle_beta 90.00
_cell_angle_gamma 90.00
_space_group_name_H-M_alt 'P m -3 m'
_space_group_IT_number 221
_space_group_name_Hall '-P 4 2 3'
loop_
_atom_site_label
_atom_site_type_symbol
_atom_site_fract_x
_atom_site_fract_y
_atom_site_fract_z
Cs1 Cs 0.000 0.000 0.500
Ag1 Ag 0.000 0.000 0.000
I1 I 0.500 0.500 0.500
```

V in Å³ per cell: 351
Crystal system: cubic
Energy relative to the elements, uncorrected in eV per atom: -0.400
Energy above the most stable polymorph in this dataset in meV per atom: 0
Final energy in eV per atom: -1.7924

---

energy relative to the elements, uncorrected of number 3 (Cs3AgI)?
-0.400 eV per atom